(1)
First-principles (PBE) data for a relaxed structure of SrCa2I2, as listed in the Alexandria database. Values from VASP.

Geometry as Quantum ESPRESSO input:
```
&SYSTEM
  ibrav = 0, nat = 10, ntyp = 3
/
ATOMIC_SPECIES
Sr 87.62 Sr.upf
Ca 40.08 Ca.upf
I 126.90 I.upf
CELL_PARAMETERS angstrom
9.529 0.000 0.000
0.000 9.529 0.000
0.000 0.000 4.081
ATOMIC_POSITIONS crystal
Sr 0.000 0.000 0.000
Sr 0.500 0.500 0.000
Ca 0.159 0.341 0.500
Ca 0.341 0.841 0.500
Ca 0.659 0.159 0.500
Ca 0.841 0.659 0.500
I 0.137 0.637 0.000
I 0.363 0.137 0.000
I 0.637 0.863 0.000
I 0.863 0.363 0.000
```

Output
DOS(E_F) ... 6.26 states/eV/f.u.
Calculated total energy ... -23.924 eV per cell
Formation energy (no corrections) ... -0.6354 eV/atom
SG ... P4/mbm
Offset from the most stable computed form ... 0 meV per atom

---

(2)
First-principles (PBE) data for a relaxed structure of BaCaTc2, as listed in the Alexandria database. Values from VASP.

Geometry as Quantum ESPRESSO input:
```
&SYSTEM
  ibrav = 0, nat = 4, ntyp = 3
/
ATOMIC_SPECIES
Ba 137.33 Ba.upf
Ca 40.08 Ca.upf
Tc 98.00 Tc.upf
CELL_PARAMETERS angstrom
1.606 0.927 10.282
-1.606 0.927 10.282
0.000 -1.855 10.282
ATOMIC_POSITIONS crystal
Ba 0.000 0.000 0.000
Ca 0.500 0.500 0.500
Tc 0.245 0.245 0.245
Tc 0.755 0.755 0.755
```

Output
DOS(E_F) ... 4.57 states/eV/f.u.
Calculated total energy ... -19.627 eV per cell
Energy relative to the elements ... 1257.3 meV/atom
SG ... R-3m
Offset from the most stable computed form ... 993 meV per atom

---

(3)
First-principles (PBE) data for a relaxed structure of TbPaCoIr, as listed in the Alexandria database. Values from VASP.

Geometry as Quantum ESPRESSO input:
```
&SYSTEM
  ibrav = 0, nat = 4, ntyp = 4
/
ATOMIC_SPECIES
Tb 158.93 Tb.upf
Pa 231.04 Pa.upf
Co 58.93 Co.upf
Ir 192.22 Ir.upf
CELL_PARAMETERS angstrom
0.000 3.409 3.409
3.409 0.000 3.409
3.409 3.409 0.000
ATOMIC_POSITIONS crystal
Tb 0.000 0.000 0.000
Pa 0.500 0.500 0.500
Co 0.750 0.750 0.750
Ir 0.250 0.250 0.250
```

Output
DOS(E_F) ... 5.61 states/eV/f.u.
Calculated total energy ... -31.659 eV per cell
Energy relative to the elements ... -391.4 meV/atom
SG ... F-43m
Offset from the most stable computed form ... 180 meV per atom

---

(4)
First-principles (PBE) data for a relaxed structure of SiGeN, as listed in the Alexandria database. Values from VASP.

Geometry as Quantum ESPRESSO input:
```
&SYSTEM
  ibrav = 0, nat = 6, ntyp = 3
/
ATOMIC_SPECIES
Si 28.09 Si.upf
Ge 72.64 Ge.upf
N 14.01 N.upf
CELL_PARAMETERS angstrom
1.433 -7.140 0.000
1.433 7.140 0.000
0.000 0.000 4.778
ATOMIC_POSITIONS crystal
Si 0.204 0.796 0.500
Si 0.796 0.204 0.000
Ge 0.035 0.965 0.429
Ge 0.965 0.035 0.929
N 0.264 0.736 0.182
N 0.736 0.264 0.682
```

Output
DOS(E_F) ... 0.46 states/eV/f.u.
Calculated total energy ... -39.450 eV per cell
Formation energy (no corrections) ... -0.4532 eV/atom
SG ... Cmc2_1
Offset from the most stable computed form ... 0 meV per atom

---

(5)
First-principles (PBE) data for a relaxed structure of Ag3P, as listed in the Alexandria database. Values from VASP.

Geometry as Quantum ESPRESSO input:
```
&SYSTEM
  ibrav = 0, nat = 8, ntyp = 2
/
ATOMIC_SPECIES
Ag 107.87 Ag.upf
P 30.97 P.upf
CELL_PARAMETERS angstrom
5.227 0.000 0.000
0.000 5.227 0.000
0.000 0.000 5.227
ATOMIC_POSITIONS crystal
Ag 0.000 0.250 0.500
Ag 0.000 0.750 0.500
Ag 0.250 0.500 0.000
Ag 0.500 0.000 0.250
Ag 0.500 0.000 0.750
Ag 0.750 0.500 0.000
P 0.000 0.000 0.000
P 0.500 0.500 0.500
```

Output
DOS(E_F) ... 1.65 states/eV/f.u.
Calculated total energy ... -25.505 eV per cell
Energy relative to the elements ... 302.7 meV/atom
SG ... Pm-3n

---

(6)
First-principles (PBE) data for a relaxed structure of AlTcMo2, as listed in the Alexandria database. Values from VASP.

Geometry as Quantum ESPRESSO input:
```
&SYSTEM
  ibrav = 0, nat = 4, ntyp = 3
/
ATOMIC_SPECIES
Al 26.98 Al.upf
Tc 98.00 Tc.upf
Mo 95.94 Mo.upf
CELL_PARAMETERS angstrom
0.000 3.116 3.116
3.116 0.000 3.116
3.116 3.116 0.000
ATOMIC_POSITIONS crystal
Al 0.000 0.000 0.000
Tc 0.750 0.750 0.750
Mo 0.250 0.250 0.250
Mo 0.500 0.500 0.500
```

Output
DOS(E_F) ... 3.60 states/eV/f.u.
Calculated total energy ... -36.222 eV per cell
Energy relative to the elements ... -112.7 meV/atom
SG ... F-43m

---

(7)
First-principles (PBE) data for a relaxed structure of BaCuSb2Pd4, as listed in the Alexandria database. Values from VASP.

Geometry as Quantum ESPRESSO input:
```
&SYSTEM
  ibrav = 0, nat = 8, ntyp = 4
/
ATOMIC_SPECIES
Ba 137.33 Ba.upf
Cu 63.55 Cu.upf
Sb 121.76 Sb.upf
Pd 106.42 Pd.upf
CELL_PARAMETERS angstrom
2.258 1.304 9.625
-2.258 1.304 9.625
0.000 -2.607 9.625
ATOMIC_POSITIONS crystal
Ba 0.000 0.000 0.000
Cu 0.500 0.500 0.500
Sb 0.237 0.237 0.237
Sb 0.763 0.763 0.763
Pd 0.141 0.141 0.141
Pd 0.412 0.412 0.412
Pd 0.588 0.588 0.588
Pd 0.859 0.859 0.859
```

Output
DOS(E_F) ... 6.25 states/eV/f.u.
Calculated total energy ... -38.957 eV per cell
Formation energy (no corrections) ... -0.4903 eV/atom
SG ... R-3m

---

(8)
First-principles (PBE) data for a relaxed structure of AcZnIn, as listed in the Alexandria database. Values from VASP.

Geometry as Quantum ESPRESSO input:
```
&SYSTEM
  ibrav = 0, nat = 3, ntyp = 3
/
ATOMIC_SPECIES
Ac 227.00 Ac.upf
Zn 65.41 Zn.upf
In 114.82 In.upf
CELL_PARAMETERS angstrom
4.876 0.000 0.000
-2.438 4.222 0.000
0.000 0.000 4.169
ATOMIC_POSITIONS crystal
Ac 0.000 0.000 0.000
Zn 0.333 0.667 0.500
In 0.667 0.333 0.500
```

Output
DOS(E_F) ... 2.29 states/eV/f.u.
Calculated total energy ... -9.276 eV per cell
Energy relative to the elements ... -385.0 meV/atom
SG ... P-6m2
Offset from the most stable computed form ... 23 meV per atom